Entry 1:
Crystalline NaReSn2As at its relaxed geometry. Source: the Alexandria database, functional PBE.

Properties
volume = 142 Å³/cell
formation energy = 1.30 eV per atom

Unit cell a=5.3417 b=4.9780 c=5.3417 alpha=90.00 beta=90.00 gamma=90.00
Last column: magnetic moment on the atom in μB.
Positions (direct):
Na  0.0000  0.5000  0.0000  0.00
Re  0.5000  0.5000  0.5000  3.15
Sn  0.5000  0.0000  0.0000  -0.15
As  0.0000  0.0000  0.0000  -0.04
Sn  0.0000  0.0000  0.5000  -0.10

=====

Entry 2:
Crystalline NaPrAu at its relaxed geometry. Source: the Alexandria database, functional PBE.

Properties
volume = 173 Å³/cell
formation energy = -0.37 eV per atom
relative energy among the computed polymorphs = 0.000 eV per formula unit

Unit cell a=4.3101 b=4.3101 c=9.7884 alpha=102.89 beta=102.89 gamma=88.30
Positions (direct):
Au  0.1508  0.1508  0.7981
Na  0.7640  0.7640  0.5006
Au  0.8492  0.8492  0.2019
Na  0.2360  0.2360  0.4994
Pr  0.3181  0.3181  0.1391
Pr  0.6819  0.6819  0.8609